{
  "formula": "ZrTiPb2O6",
  "functional": "meta-GGA SCAN",
  "state": "single point on PBEsol structure",
  "polymorph_energy_ev_per_fu": 0.000,
  "e_form_raw_mev_per_atom": -2603,
  "total_energy_ev_per_atom": -26.171,
  "spacegroup": "P4mm (99)",
  "cell": [[-0.8567, 3.9191, -1.4412], [-3.1627, -2.2033, -4.1117], [-4.5252, 0.2429, 3.3506]],
  "species": ["Zr", "Pb", "Pb", "O", "O", "O", "O", "O", "O", "Ti"],
  "frac_coords": [[0.5553, 0.5000, 0.5000], [0.9953, 0.0000, 0.5000], [0.9953, 0.5000, 0.0000], [0.6330, 0.2417, 0.2417], [0.6330, 0.7583, 0.7583], [0.6330, 0.7583, 0.2417], [0.0898, 0.5000, 0.5000], [0.1290, 0.0000, 0.0000], [0.6330, 0.2417, 0.7583], [0.5424, 0.0000, 0.0000]]
}

***

{
  "formula": "Zr3TiPb4O12",
  "functional": "meta-GGA SCAN",
  "state": "single point on PBEsol structure",
  "polymorph_energy_ev_per_fu": 0.000,
  "e_form_raw_mev_per_atom": -2651,
  "total_energy_ev_per_atom": -26.952,
  "spacegroup": "Pm (6)",
  "cell": [[4.1856, 0.0067, 0.0000], [-0.1114, 5.7956, 0.0000], [0.0000, 0.0000, 11.5391]],
  "species": ["O", "O", "O", "O", "O", "O", "O", "O", "O", "O", "O", "O", "Zr", "Zr", "Zr", "Pb", "Pb", "Pb", "Pb", "Ti"],
  "frac_coords": [[0.0232, 0.7705, 0.8834], [0.4869, 0.4934, 0.2387], [0.0170, 0.2469, 0.8792], [0.0165, 0.7479, 0.3794], [0.0194, 0.2515, 0.6350], [0.0170, 0.2469, 0.1208], [0.4869, 0.4934, 0.7613], [0.5159, 0.0036, 0.0000], [0.0165, 0.7479, 0.6206], [0.4889, 0.9862, 0.5000], [0.0232, 0.7705, 0.1166], [0.0194, 0.2515, 0.3650], [0.9663, 0.5253, 0.7546], [0.9663, 0.5253, 0.2454], [0.9686, 0.0292, 0.5000], [0.4136, 0.5684, 0.0000], [0.4079, 0.0601, 0.2379], [0.4152, 0.5724, 0.5000], [0.4079, 0.0601, 0.7621], [0.9454, 0.0270, 0.0000]]
}

***

{
  "formula": "ZrTi2Pb3O9",
  "functional": "meta-GGA SCAN",
  "state": "single point on PBEsol structure",
  "e_form_raw_mev_per_atom": -2562,
  "total_energy_ev_per_atom": -25.641,
  "spacegroup": "Pmm2 (25)",
  "cell": [[-1.8754, 1.1022, 3.3135], [-2.7056, -3.2754, -0.4418], [7.2194, -6.8208, 6.3550]],
  "species": ["O", "O", "O", "O", "O", "O", "O", "O", "O", "Ti", "Ti", "Pb", "Pb", "Pb", "Zr"],
  "frac_coords": [[0.0000, 0.6313, 0.5000], [0.0000, 0.0871, 0.0000], [0.0000, 0.6270, 0.8233], [0.5000, 0.6212, 0.3375], [0.5000, 0.6212, 0.6625], [0.0000, 0.1225, 0.6629], [0.5000, 0.6431, 0.0000], [0.0000, 0.1225, 0.3371], [0.0000, 0.6270, 0.1767], [0.0000, 0.5363, 0.3378], [0.0000, 0.5363, 0.6622], [0.5000, 0.9914, 0.8248], [0.5000, 0.9902, 0.5000], [0.5000, 0.9914, 0.1752], [0.0000, 0.5473, 0.0000]]
}

***

{
  "formula": "Zr3Ti2Pb5O15",
  "functional": "meta-GGA SCAN",
  "state": "single point on PBEsol structure",
  "polymorph_energy_ev_per_fu": 0.000,
  "e_form_raw_mev_per_atom": -2616,
  "total_energy_ev_per_atom": -26.478,
  "spacegroup": "Cm (8)",
  "cell": [[4.2487, 0.0000, 0.0389], [0.0000, 5.6780, 0.0000], [-0.1985, -2.8390, 14.2087]],
  "species": ["O", "O", "O", "O", "O", "O", "O", "O", "O", "O", "O", "O", "O", "O", "O", "Zr", "Zr", "Zr", "Pb", "Pb", "Pb", "Pb", "Pb", "Ti", "Ti"],
  "frac_coords": [[0.6074, 0.4917, 0.4846], [0.1016, 0.2887, 0.5773], [0.6040, 0.8824, 0.2933], [0.6036, 0.5759, 0.6761], [0.0612, 0.8872, 0.7745], [0.6034, 0.2901, 0.0878], [0.6074, 0.9930, 0.4846], [0.1016, 0.6955, 0.3909], [0.6036, 0.1002, 0.6761], [0.0601, 0.4917, 0.9834], [0.6040, 0.4109, 0.2933], [0.0616, 0.0967, 0.1935], [0.6034, 0.7977, 0.0878], [0.6031, 0.1895, 0.8815], [0.6031, 0.6920, 0.8815], [0.5276, 0.8890, 0.7780], [0.5278, 0.0966, 0.1933], [0.5251, 0.4929, 0.9857], [0.9640, 0.3908, 0.7817], [0.9658, 0.5981, 0.1961], [0.9597, 0.9943, 0.9885], [0.9717, 0.7906, 0.5811], [0.9731, 0.1970, 0.3939], [0.5179, 0.2905, 0.5809], [0.5179, 0.6955, 0.3909]]
}

***

{
  "formula": "ZrTiPb2O6",
  "functional": "meta-GGA SCAN",
  "state": "single point on PBEsol structure",
  "polymorph_energy_ev_per_fu": 0.086,
  "e_form_raw_mev_per_atom": -2594,
  "total_energy_ev_per_atom": -26.162,
  "spacegroup": "R3m (160)",
  "cell": [[5.7079, 0.0000, 0.0000], [2.8540, 4.9432, 0.0000], [2.8540, 1.6477, 4.7233]],
  "species": ["Ti", "O", "O", "O", "O", "O", "O", "Zr", "Pb", "Pb"],
  "frac_coords": [[0.4875, 0.4875, 0.5376], [0.2708, 0.7402, 0.2487], [0.7402, 0.7402, 0.2487], [0.7565, 0.2551, 0.7333], [0.2551, 0.2551, 0.7333], [0.2551, 0.7565, 0.7333], [0.7402, 0.2708, 0.2487], [0.9875, 0.9875, 0.0374], [0.7185, 0.7185, 0.8444], [0.2207, 0.2207, 0.3379]]
}

***

{
  "formula": "Zr3TiPb4O12",
  "functional": "meta-GGA SCAN",
  "state": "single point on PBEsol structure",
  "polymorph_energy_ev_per_fu": 0.069,
  "e_form_raw_mev_per_atom": -2647,
  "total_energy_ev_per_atom": -26.948,
  "spacegroup": "P1 (1)",
  "cell": [[5.7690, 0.0001, 0.0010], [2.8840, 5.0351, 0.0184], [0.0051, 3.3036, 9.4546]],
  "species": ["O", "O", "O", "O", "O", "O", "O", "O", "O", "O", "O", "O", "Zr", "Zr", "Zr", "Pb", "Pb", "Pb", "Pb", "Ti"],
  "frac_coords": [[0.2357, 0.9942, 0.7731], [0.5236, 0.5110, 0.0095], [0.5358, 0.9983, 0.9959], [0.5219, 0.5002, 0.4705], [0.2053, 0.4901, 0.2600], [0.7309, 0.9989, 0.7340], [0.2364, 0.9959, 0.2178], [0.7172, 0.9956, 0.2643], [0.0483, 0.4908, 0.5262], [0.7021, 0.5162, 0.7561], [0.0525, 0.9965, 0.5107], [0.9942, 0.5107, 0.9737], [0.8546, 0.2921, 0.6216], [0.3503, 0.2948, 0.1156], [0.1058, 0.7883, 0.3694], [0.4528, 0.0874, 0.4916], [0.9472, 0.1063, 0.9810], [0.2098, 0.5897, 0.7454], [0.6993, 0.5958, 0.2248], [0.5997, 0.8003, 0.8667]]
}

***

{
  "formula": "ZrTiPb2O6",
  "functional": "meta-GGA SCAN",
  "state": "single point on PBEsol structure",
  "polymorph_energy_ev_per_fu": 0.071,
  "e_form_raw_mev_per_atom": -2596,
  "total_energy_ev_per_atom": -26.164,
  "spacegroup": "P1 (1)",
  "cell": [[-3.6064, 0.2380, -1.9992], [0.9332, -3.3136, -2.2991], [-3.3576, -4.7538, 5.4166]],
  "species": ["O", "O", "O", "O", "O", "O", "Ti", "Pb", "Pb", "Zr"],
  "frac_coords": [[0.5672, 0.0775, 0.7744], [0.5756, 0.5874, 0.0092], [0.5764, 0.0582, 0.2784], [0.5743, 0.5861, 0.5344], [0.0475, 0.5886, 0.2785], [0.0655, 0.5792, 0.7743], [0.5081, 0.5178, 0.7689], [0.9804, 0.9885, 0.9985], [0.9797, 0.9875, 0.5188], [0.5327, 0.5418, 0.2685]]
}

***

{
  "formula": "Zr3Ti2Pb5O15",
  "functional": "meta-GGA SCAN",
  "state": "single point on PBEsol structure",
  "polymorph_energy_ev_per_fu": 0.171,
  "e_form_raw_mev_per_atom": -2610,
  "total_energy_ev_per_atom": -26.471,
  "spacegroup": "R3m (160)",
  "cell": [[5.7409, 0.0000, 0.0000], [2.8704, 4.9717, 0.0000], [2.8704, 1.6572, 11.9191]],
  "species": ["O", "O", "O", "O", "O", "O", "O", "O", "O", "O", "O", "O", "O", "O", "O", "Pb", "Pb", "Pb", "Pb", "Pb", "Zr", "Zr", "Zr", "Ti", "Ti"],
  "frac_coords": [[0.6838, 0.2085, 0.8992], [0.3957, 0.8970, 0.3117], [0.8970, 0.3957, 0.3117], [0.2085, 0.2085, 0.8992], [0.2825, 0.8051, 0.1072], [0.0023, 0.4937, 0.5017], [0.3957, 0.3957, 0.3117], [0.0023, 0.0023, 0.5017], [0.8051, 0.8051, 0.1072], [0.8051, 0.2825, 0.1072], [0.2085, 0.6838, 0.8992], [0.4937, 0.0023, 0.5017], [0.6132, 0.6132, 0.6919], [0.6132, 0.0817, 0.6919], [0.0817, 0.6132, 0.6919], [0.3146, 0.3146, 0.0561], [0.1153, 0.1153, 0.6541], [0.5096, 0.5096, 0.4711], [0.9108, 0.9108, 0.2677], [0.7176, 0.7176, 0.8473], [0.4078, 0.4078, 0.7766], [0.6028, 0.6028, 0.1915], [0.0050, 0.0050, 0.9851], [0.8081, 0.8081, 0.5758], [0.2048, 0.2048, 0.3855]]
}

***

{
  "formula": "TlPb3O",
  "functional": "meta-GGA SCAN",
  "state": "single point on PBEsol structure",
  "e_form_raw_mev_per_atom": -268,
  "total_energy_ev_per_atom": -61.454,
  "spacegroup": "Pm-3m (221)",
  "cell": [[-0.1416, 4.5580, 2.0593], [-4.9948, -0.0218, -0.2953], [-0.2601, -2.0641, 4.5506]],
  "species": ["Pb", "Pb", "Pb", "O", "Tl"],
  "frac_coords": [[0.5000, 0.0000, 0.0000], [0.0000, 0.5000, 0.0000], [0.0000, 0.0000, 0.5000], [0.0000, 0.0000, 0.0000], [0.5000, 0.5000, 0.5000]]
}

***

{
  "formula": "UPbO4",
  "functional": "meta-GGA SCAN",
  "state": "single point on PBEsol structure",
  "e_form_raw_mev_per_atom": -2638,
  "total_energy_ev_per_atom": -36.677,
  "spacegroup": "Pbcm (57)",
  "cell": [[-0.6907, -1.0948, -5.4126], [-1.9243, -7.4844, 1.7594], [-7.8642, 2.1554, 0.5676]],
  "species": ["O", "O", "O", "O", "O", "O", "O", "O", "O", "O", "O", "O", "O", "O", "O", "O", "U", "U", "U", "U", "Pb", "Pb", "Pb", "Pb"],
  "frac_coords": [[0.1572, 0.2500, 0.5000], [0.8428, 0.7500, 0.0000], [0.6994, 0.4129, 0.4215], [0.3006, 0.9129, 0.4215], [0.1572, 0.2500, 0.0000], [0.3006, 0.9129, 0.0785], [0.8428, 0.7500, 0.5000], [0.3006, 0.5871, 0.5785], [0.1317, 0.9622, 0.7500], [0.6994, 0.0871, 0.5785], [0.8683, 0.4622, 0.7500], [0.8683, 0.0378, 0.2500], [0.3006, 0.5871, 0.9215], [0.1317, 0.5378, 0.2500], [0.6994, 0.0871, 0.9215], [0.6994, 0.4129, 0.0785], [0.0000, 0.0000, 0.5000], [0.0000, 0.5000, 0.0000], [0.0000, 0.0000, 0.0000], [0.0000, 0.5000, 0.5000], [0.5023, 0.2975, 0.7500], [0.4977, 0.7025, 0.2500], [0.4977, 0.7975, 0.7500], [0.5023, 0.2025, 0.2500]]
}

***

{
  "formula": "UV2PbO9",
  "functional": "meta-GGA SCAN",
  "state": "single point on PBEsol structure",
  "e_form_raw_mev_per_atom": -2592,
  "total_energy_ev_per_atom": -23.389,
  "spacegroup": "P2_1/c (14)",
  "cell": [[-6.2800, 0.8135, 2.6645], [-1.6716, -9.4810, -1.0452], [4.7725, -1.9835, 10.3596]],
  "species": ["V", "V", "V", "V", "V", "V", "V", "V", "O", "O", "O", "O", "O", "O", "O", "O", "O", "O", "O", "O", "O", "O", "O", "O", "O", "O", "O", "O", "O", "O", "O", "O", "O", "O", "O", "O", "O", "O", "O", "O", "O", "O", "O", "O", "Pb", "Pb", "Pb", "Pb", "U", "U", "U", "U"],
  "frac_coords": [[0.4064, 0.4659, 0.1723], [0.2182, 0.7263, 0.5337], [0.5936, 0.5341, 0.8277], [0.7183, 0.7737, 0.0337], [0.2818, 0.2263, 0.9663], [0.9064, 0.0341, 0.6723], [0.0936, 0.9659, 0.3277], [0.7817, 0.2737, 0.4663], [0.1346, 0.9909, 0.7261], [0.3654, 0.4909, 0.7739], [0.5627, 0.8817, 0.3871], [0.2731, 0.3907, 0.2739], [0.6585, 0.3959, 0.5331], [0.7731, 0.1093, 0.7739], [0.9084, 0.1401, 0.5478], [0.8654, 0.0091, 0.2739], [0.2444, 0.0999, 0.3579], [0.1585, 0.1041, 0.0331], [0.4084, 0.3599, 0.0478], [0.2556, 0.5999, 0.1421], [0.8998, 0.6944, 0.1156], [0.9618, 0.6258, 0.3544], [0.7444, 0.4001, 0.8579], [0.5579, 0.8457, 0.1242], [0.7556, 0.9001, 0.6421], [0.4421, 0.1543, 0.8758], [0.5382, 0.1258, 0.1456], [0.8415, 0.8959, 0.9669], [0.0579, 0.6543, 0.6242], [0.1002, 0.3056, 0.8844], [0.0627, 0.6183, 0.8871], [0.3415, 0.6041, 0.4669], [0.5916, 0.6401, 0.9522], [0.3998, 0.8056, 0.6156], [0.9373, 0.3817, 0.1129], [0.0916, 0.8599, 0.4522], [0.2269, 0.8907, 0.2261], [0.6002, 0.1944, 0.3844], [0.4373, 0.1183, 0.6129], [0.0382, 0.3742, 0.6456], [0.7269, 0.6093, 0.7261], [0.6346, 0.5091, 0.2261], [0.9421, 0.3457, 0.3758], [0.4618, 0.8742, 0.8544], [0.8112, 0.1858, 0.9739], [0.1888, 0.8142, 0.0261], [0.6888, 0.6858, 0.5261], [0.3112, 0.3142, 0.4739], [0.0417, 0.4937, 0.7679], [0.4583, 0.9937, 0.7321], [0.5417, 0.0063, 0.2679], [0.9583, 0.5063, 0.2321]]
}

***

{
  "formula": "V6PbO15",
  "functional": "meta-GGA SCAN",
  "state": "single point on PBEsol structure",
  "e_form_raw_mev_per_atom": -2446,
  "total_energy_ev_per_atom": -14.908,
  "spacegroup": "Cm (8)",
  "cell": [[-1.3665, -2.9631, 1.6216], [7.7839, -0.8245, 0.9592], [-3.7102, 5.7284, 7.3405]],
  "species": ["O", "O", "O", "O", "O", "O", "O", "O", "O", "O", "O", "O", "O", "O", "O", "V", "V", "V", "V", "V", "V", "Pb"],
  "frac_coords": [[0.9989, 0.9978, 0.9979], [0.3642, 0.7285, 0.9245], [0.4375, 0.8750, 0.2219], [0.8819, 0.7638, 0.7230], [0.7357, 0.4714, 0.7836], [0.1106, 0.2212, 0.2728], [0.4002, 0.8005, 0.4695], [0.6087, 0.2175, 0.5245], [0.7603, 0.5206, 0.4243], [0.2640, 0.5279, 0.2219], [0.6313, 0.2627, 0.0731], [0.1848, 0.3697, 0.9500], [0.5607, 0.1215, 0.7748], [0.8161, 0.6322, 0.0606], [0.2474, 0.4949, 0.5777], [0.1162, 0.2324, 0.1109], [0.7235, 0.4471, 0.5955], [0.3331, 0.6662, 0.0964], [0.2872, 0.5744, 0.4101], [0.6600, 0.3201, 0.8949], [0.8799, 0.7598, 0.8832], [0.0018, 0.0037, 0.4027]]
}

***

{
  "formula": "V3Pb2O9",
  "functional": "meta-GGA SCAN",
  "state": "single point on PBEsol structure",
  "polymorph_energy_ev_per_fu": 0.045,
  "e_form_raw_mev_per_atom": -2260,
  "total_energy_ev_per_atom": -20.839,
  "spacegroup": "Cc (9)",
  "cell": [[-0.1342, 6.8828, 1.3457], [-6.0559, -2.9293, -3.0654], [0.0873, -3.4776, 8.2360]],
  "species": ["O", "O", "O", "O", "O", "O", "O", "O", "O", "O", "O", "O", "O", "O", "O", "O", "O", "O", "V", "V", "V", "V", "V", "V", "Pb", "Pb", "Pb", "Pb"],
  "frac_coords": [[0.2256, 0.2189, 0.4261], [0.4618, 0.2277, 0.7179], [0.4964, 0.2091, 0.1900], [0.2236, 0.6860, 0.0379], [0.0115, 0.7798, 0.8043], [0.2958, 0.3303, 0.9646], [0.5291, 0.0670, 0.4497], [0.8064, 0.0191, 0.8100], [0.2995, 0.7928, 0.5739], [0.5794, 0.6173, 0.5503], [0.7072, 0.9754, 0.1957], [0.6857, 0.6480, 0.9621], [0.9321, 0.3903, 0.4404], [0.2439, 0.5098, 0.2821], [0.0523, 0.7898, 0.2791], [0.8311, 0.3656, 0.0354], [0.9918, 0.9500, 0.5596], [0.2732, 0.5107, 0.7209], [0.4271, 0.4281, 0.8391], [0.6675, 0.1600, 0.3198], [0.0880, 0.5890, 0.1609], [0.2521, 0.0360, 0.4901], [0.2621, 0.5459, 0.5099], [0.8478, 0.8402, 0.6802], [0.0218, 0.0311, 0.0924], [0.4295, 0.9388, 0.9076], [0.8692, 0.3562, 0.7617], [0.6074, 0.5945, 0.2383]]
}

***

{
  "formula": "V6PbO11",
  "functional": "meta-GGA SCAN",
  "state": "single point on PBEsol structure",
  "e_form_raw_mev_per_atom": -2523,
  "total_energy_ev_per_atom": -16.370,
  "spacegroup": "P6_3/mmc (194)",
  "cell": [[5.7625, 0.0000, 0.0000], [-2.8813, 4.9905, 0.0000], [0.0000, 0.0000, 12.9759]],
  "species": ["Pb", "Pb", "O", "O", "O", "O", "O", "O", "O", "O", "O", "O", "O", "O", "O", "O", "O", "O", "O", "O", "O", "O", "O", "O", "V", "V", "V", "V", "V", "V", "V", "V", "V", "V", "V", "V"],
  "frac_coords": [[0.6667, 0.3333, 0.7500], [0.3333, 0.6667, 0.2500], [0.8292, 0.1708, 0.9189], [0.3417, 0.1708, 0.9189], [0.1508, 0.3017, 0.7500], [0.1708, 0.8292, 0.0811], [0.6583, 0.8292, 0.4189], [0.1708, 0.3417, 0.4189], [0.8292, 0.1708, 0.5811], [0.6667, 0.3333, 0.4112], [0.1708, 0.8292, 0.4189], [0.3417, 0.1708, 0.5811], [0.6983, 0.8492, 0.7500], [0.8292, 0.6583, 0.9189], [0.1508, 0.8492, 0.7500], [0.6583, 0.8292, 0.0811], [0.3333, 0.6667, 0.5888], [0.6667, 0.3333, 0.0888], [0.8492, 0.6983, 0.2500], [0.3017, 0.1508, 0.2500], [0.8292, 0.6583, 0.5811], [0.8492, 0.1508, 0.2500], [0.3333, 0.6667, 0.9112], [0.1708, 0.3417, 0.0811], [0.0000, 0.0000, 0.3522], [0.0000, 0.0000, 0.6478], [0.5000, 0.0000, 0.5000], [0.0000, 0.0000, 0.1478], [0.6667, 0.3333, 0.2500], [0.0000, 0.5000, 0.5000], [0.5000, 0.5000, 0.0000], [0.0000, 0.5000, 0.0000], [0.0000, 0.0000, 0.8522], [0.5000, 0.5000, 0.5000], [0.5000, 0.0000, 0.0000], [0.3333, 0.6667, 0.7500]]
}